1.
The following is a DFT calculation (PBE) of a relaxed LiMg7In3 crystal.

```
LiMg7In3
1.0
5.373 -5.353 0.000
5.373 5.353 0.000
-2.683 0.000 4.660
Li Mg In
1 7 3
direct
0.000 0.000 0.000
0.000 0.000 0.500
0.098 0.554 0.825
0.310 0.310 0.310
0.446 0.902 0.175
0.554 0.098 0.825
0.690 0.690 0.690
0.902 0.446 0.175
0.268 0.732 0.500
0.500 0.500 0.000
0.732 0.268 0.500
```

magnetization	0.000	μB/cell
D(E_F)	3.6	states/eV/f.u.
theoretical density	3231	kg/m3
uncorrected energy	-0.1389	Ry per atom
ΔH_f (0 K)	0.046	eV per atom

2.
The following is a DFT calculation (PBE) of a relaxed Ca2NbSnIr crystal.

```
Ca2NbSnIr
1.0
5.456 0.000 0.000
0.000 5.456 0.000
0.000 0.000 4.855
Ca Nb Sn Ir
2 1 1 1
direct
0.000 0.500 0.000
0.500 0.000 0.000
0.000 0.000 0.500
0.500 0.500 0.500
0.000 0.000 0.000
```

magnetization	1.143	μB/cell
D(E_F)	4.9	states/eV/f.u.
relative energy among the computed polymorphs	0	meV/atom
theoretical density	5560	kg/m3
uncorrected energy	-0.3861	Ry per atom
ΔH_f (0 K)	0.134	eV per atom

3.
The following is a DFT calculation (PBE) of a relaxed Cs2GaS2 crystal.

```
Cs2GaS2
1.0
-2.955 2.955 5.909
2.955 -2.955 5.909
2.955 2.955 -5.909
Cs Ga S
2 1 2
direct
0.250 0.750 0.500
0.750 0.250 0.500
0.000 0.000 0.000
0.410 0.410 0.000
0.590 0.590 0.000
```

magnetization	1.000	μB/cell
D(E_F)	0.3	states/eV/f.u.
relative energy among the computed polymorphs	230	meV/atom
theoretical density	3217	kg/m3
uncorrected energy	-0.2074	Ry per atom
uncorrected formation energy	-0.223	eV per atom

4.
The following is a DFT calculation (PBE) of a relaxed MoP crystal.

```
MoP
1.0
-3.729 3.729 3.729
3.729 -3.729 3.729
3.729 3.729 -3.729
Mo P
4 4
direct
0.000 0.000 0.269
0.000 0.269 0.000
0.269 0.000 0.000
0.731 0.731 0.731
0.000 0.000 0.642
0.000 0.642 0.000
0.358 0.358 0.358
0.642 0.000 0.000
```

magnetization	1.444	μB/cell
D(E_F)	2.5	states/eV/f.u.
theoretical density	4063	kg/m3
uncorrected energy	-0.5842	Ry per atom
ΔH_f (0 K)	0.172	eV per atom

5.
The following is a DFT calculation (PBE) of a relaxed Ho2SiAu crystal.

```
Ho2SiAu
1.0
3.530 0.000 0.000
0.000 3.530 0.000
0.000 0.000 7.152
Ho Si Au
2 1 1
direct
0.000 0.000 0.243
0.000 0.000 0.757
0.500 0.500 0.000
0.500 0.500 0.500
```

magnetization	0.000	μB/cell
D(E_F)	2.0	states/eV/f.u.
theoretical density	10343	kg/m3
uncorrected energy	-0.3789	Ry per atom
uncorrected formation energy	-0.691	eV per atom

6.
The following is a DFT calculation (PBE) of a relaxed CaHoSi2 crystal.

```
CaHoSi2
1.0
3.829 0.000 0.000
0.000 5.749 0.000
0.000 0.000 8.089
Ca Ho Si
2 2 4
direct
0.000 0.137 0.000
0.000 0.863 0.500
0.500 0.360 0.358
0.500 0.640 0.858
0.000 0.383 0.641
0.000 0.617 0.141
0.500 0.135 0.714
0.500 0.865 0.214
```

magnetization	0.000	μB/cell
D(E_F)	2.6	states/eV/f.u.
theoretical density	4871	kg/m3
uncorrected energy	-0.3670	Ry per atom
uncorrected formation energy	-0.637	eV per atom